No. 1
{
  "formula": "Na3AlF",
  "functional": "PBE-GGA",
  "state": "optimized geometry",
  "lattice": [[-0.013, -3.209, -3.527], [4.140, 1.743, -1.601], [2.367, -3.066, 2.781]],
  "species": ["Na", "Na", "Na", "Al", "F"],
  "fractional_positions": [[0.000, 0.500, 0.000], [0.000, 0.000, 0.500], [0.500, 0.000, 0.000], [0.500, 0.500, 0.500], [0.000, 0.000, 0.000]],
  "vol_a3_per_fu": 108.43,
  "e_form_raw_mev_per_atom": -853,
  "space_group": "Pm-3m (221)",
  "e_tot_ev_per_cell": -13.83
}



No. 2
{
  "formula": "LiAlC",
  "functional": "PBE-GGA",
  "state": "optimized geometry",
  "lattice": [[7.332, 0.000, 0.000], [0.000, 5.583, 0.000], [0.000, 0.000, 5.017]],
  "species": ["C", "C", "C", "C", "Al", "Al", "Al", "Al", "Li", "Li", "Li", "Li"],
  "fractional_positions": [[0.100, 0.250, 0.201], [0.400, 0.750, 0.701], [0.900, 0.750, 0.799], [0.600, 0.250, 0.299], [0.000, 0.000, 0.000], [0.500, 0.500, 0.500], [0.500, 0.000, 0.500], [0.000, 0.500, 0.000], [0.866, 0.250, 0.454], [0.634, 0.750, 0.954], [0.134, 0.750, 0.546], [0.366, 0.250, 0.046]],
  "vol_a3_per_fu": 51.34,
  "space_group": "Pnma (62)",
  "e_tot_ev_per_cell": -52.84,
  "e_form_ev_per_atom": 0.557
}



No. 3
{
  "formula": "TcRh2",
  "functional": "PBE-GGA",
  "state": "optimized geometry",
  "lattice": [[0.531, -0.798, 4.931], [1.893, 3.607, 2.939], [-2.971, 2.396, 3.266]],
  "species": ["Tc", "Tc", "Rh", "Rh", "Rh", "Rh"],
  "fractional_positions": [[0.750, 0.750, 0.750], [0.500, 0.500, 0.500], [0.125, 0.625, 0.125], [0.125, 0.125, 0.625], [0.625, 0.125, 0.125], [0.125, 0.125, 0.125]],
  "vol_a3_per_fu": 44.81,
  "space_group": "Fd-3m (227)",
  "e_tot_ev_per_cell": -47.77,
  "e_form_ev_per_atom": 0.394
}



No. 4
{
  "formula": "ZrZn2I",
  "functional": "PBE-GGA",
  "state": "optimized geometry",
  "lattice": [[-0.702, -4.144, -6.806], [-5.283, -4.872, 3.512], [-5.151, -2.770, -2.483]],
  "species": ["I", "I", "Zn", "Zn", "Zn", "Zn", "Zr", "Zr"],
  "fractional_positions": [[0.000, 0.000, 0.000], [0.750, 0.250, 0.500], [0.610, 0.125, 0.250], [0.140, 0.625, 0.250], [0.375, 0.390, 0.750], [0.875, 0.860, 0.750], [0.500, 0.500, 0.000], [0.250, 0.750, 0.500]],
  "vol_a3_per_fu": 92.60,
  "e_form_raw_mev_per_atom": 273,
  "space_group": "I-42d (122)",
  "e_tot_ev_per_cell": -23.11
}



No. 5
{
  "formula": "SmCd",
  "functional": "PBE-GGA",
  "state": "optimized geometry",
  "lattice": [[-0.106, -3.340, -1.336], [3.970, 1.003, -2.823], [3.803, -0.272, 5.253]],
  "species": ["Sm", "Sm", "Cd", "Cd"],
  "fractional_positions": [[0.661, 0.250, 0.322], [0.339, 0.750, 0.678], [0.930, 0.250, 0.859], [0.070, 0.750, 0.141]],
  "vol_a3_per_fu": 55.79,
  "space_group": "P2_1/m (11)",
  "e_tot_ev_per_cell": -12.34,
  "e_form_ev_per_atom": -0.267
}



No. 6
{
  "formula": "K2SrSnH",
  "functional": "PBE-GGA",
  "state": "optimized geometry",
  "lattice": [[5.234, 0.000, 0.000], [0.000, 5.234, 0.000], [0.000, 0.000, 5.665]],
  "species": ["Sr", "K", "K", "Sn", "H"],
  "fractional_positions": [[0.000, 0.000, 0.500], [0.000, 0.500, 0.000], [0.500, 0.000, 0.000], [0.500, 0.500, 0.500], [0.000, 0.000, 0.000]],
  "vol_a3_per_fu": 155.20,
  "space_group": "P4/mmm (123)",
  "e_tot_ev_per_cell": -12.37
}



No. 7
{
  "formula": "Re2Os",
  "functional": "PBE-GGA",
  "state": "optimized geometry",
  "lattice": [[2.709, 0.000, 0.000], [0.000, 4.168, 0.000], [0.000, 0.000, 17.351]],
  "species": ["Re", "Re", "Re", "Re", "Re", "Re", "Re", "Re", "Os", "Os", "Os", "Os"],
  "fractional_positions": [[0.000, 0.250, 0.038], [0.000, 0.250, 0.185], [0.000, 0.750, 0.815], [0.000, 0.750, 0.962], [0.500, 0.250, 0.315], [0.500, 0.250, 0.462], [0.500, 0.750, 0.538], [0.500, 0.750, 0.685], [0.000, 0.250, 0.609], [0.000, 0.750, 0.391], [0.500, 0.250, 0.891], [0.500, 0.750, 0.109]],
  "vol_a3_per_fu": 48.98,
  "space_group": "Imma (74)",
  "e_tot_ev_per_cell": -138.04,
  "e_form_ev_per_atom": 0.539
}



No. 8
{
  "formula": "CrBiB3",
  "functional": "PBE-GGA",
  "state": "optimized geometry",
  "lattice": [[4.042, 0.000, 0.000], [0.000, 4.042, 0.000], [0.000, 0.000, 4.042]],
  "species": ["Cr", "B", "B", "B", "Bi"],
  "fractional_positions": [[0.000, 0.000, 0.000], [0.000, 0.500, 0.000], [0.000, 0.000, 0.500], [0.500, 0.000, 0.000], [0.500, 0.500, 0.500]],
  "vol_a3_per_fu": 66.06,
  "space_group": "Pm-3m (221)",
  "e_tot_ev_per_cell": -27.96,
  "e_form_ev_per_atom": 1.116
}